Entry 1:
Below is an optimized crystal structure of CaCeTeO6, with properties calculated at the GGA-PBE level.

Structure (CIF):
```
data_CaCeTeO6
_chemical_formula_sum 'Ca2 Ce2 Te2 O12'
_cell_length_a 5.5775
_cell_length_b 5.5775
_cell_length_c 9.4470
_cell_angle_alpha 90.00
_cell_angle_beta 90.00
_cell_angle_gamma 120.00
_symmetry_space_group_name_H-M 'P -3 1 c'
_symmetry_Int_Tables_number 163
_symmetry_space_group_name_Hall '-P 3 2c'
loop_
_atom_site_label
_atom_site_fract_x
_atom_site_fract_y
_atom_site_fract_z
Ca1 0.3333 0.6667 0.2500
Ce1 0.0000 0.0000 0.0000
Te1 0.3333 0.6667 0.7500
O1 0.0524 0.3686 0.6324
```

Magnetic moment in μB per formula unit: 0.00

---

Entry 2:
Below is an optimized crystal structure of Ca2CeTiO6, with properties calculated at the GGA-PBE level.

Structure (CIF):
```
data_Ca2CeTiO6
_chemical_formula_sum 'Ca4 Ce2 Ti2 O12'
_cell_length_a 5.609
_cell_length_b 5.828
_cell_length_c 9.802
_cell_angle_alpha 90.00
_cell_angle_beta 124.39
_cell_angle_gamma 90.00
_symmetry_space_group_name_H-M 'P 1 21/c 1'
_symmetry_Int_Tables_number 14
loop_
_symmetry_equiv_pos_as_xyz
'x,y,z'
'-x,-y,-z'
'-x,y+1/2,-z+1/2'
'x,-y+1/2,z+1/2'
loop_
_atom_site_label
_atom_site_fract_x
_atom_site_fract_y
_atom_site_fract_z
Ca1 0.236 0.053 0.252
Ce1 0.500 0.000 0.000
Ti1 0.000 0.000 0.500
O1 0.118 0.216 0.936
O2 0.230 0.686 0.945
O3 0.344 0.046 0.733
```

Magnetic moment in μB per formula unit: 0.00

---

Entry 3:
Below is an optimized crystal structure of CaCe2TiO6, with properties calculated at the GGA-PBE level.

Structure (CIF):
```
data_CaCe2TiO6
_chemical_formula_sum 'Ca1 Ce2 Ti1 O6'
_cell_length_a 5.450
_cell_length_b 5.450
_cell_length_c 5.188
_cell_angle_alpha 90.00
_cell_angle_beta 90.00
_cell_angle_gamma 90.00
_symmetry_space_group_name_H-M 'P 4 m m'
_symmetry_Int_Tables_number 99
loop_
_symmetry_equiv_pos_as_xyz
'x,y,z'
'-y,x,z'
'-x,-y,z'
'y,-x,z'
'-x,y,z'
'y,x,z'
'x,-y,z'
'-y,-x,z'
loop_
_atom_site_label
_atom_site_fract_x
_atom_site_fract_y
_atom_site_fract_z
Ca1 0.000 0.000 0.000
Ce1 0.000 0.500 0.435
Ti1 0.500 0.500 0.038
O1 0.000 0.000 0.576
O2 0.267 0.267 0.175
O3 0.500 0.500 0.685
```

Magnetic moment in μB per formula unit: 2.01

---

Entry 4:
Below is an optimized crystal structure of Ca2CeTmO6, with properties calculated at the GGA-PBE level.

Structure (CIF):
```
data_Ca2CeTmO6
_chemical_formula_sum 'Ca4 Ce2 Tm2 O12'
_cell_length_a 5.789
_cell_length_b 6.004
_cell_length_c 10.198
_cell_angle_alpha 90.00
_cell_angle_beta 124.41
_cell_angle_gamma 90.00
_symmetry_space_group_name_H-M 'P 1 21/c 1'
_symmetry_Int_Tables_number 14
loop_
_symmetry_equiv_pos_as_xyz
'x,y,z'
'-x,-y,-z'
'-x,y+1/2,-z+1/2'
'x,-y+1/2,z+1/2'
loop_
_atom_site_label
_atom_site_fract_x
_atom_site_fract_y
_atom_site_fract_z
Ca1 0.229 0.054 0.251
Ce1 0.500 0.000 0.000
Tm1 0.000 0.000 0.500
O1 0.124 0.202 0.925
O2 0.231 0.701 0.929
O3 0.383 0.067 0.748
```

Magnetic moment in μB per formula unit: 1.06

---

Entry 5:
Below is an optimized crystal structure of Ca2CeUO6, with properties calculated at the GGA-PBE level.

Structure (CIF):
```
data_Ca2CeUO6
_chemical_formula_sum 'Ca6 Ce3 U3 O18'
_cell_length_a 5.9330
_cell_length_b 5.9330
_cell_length_c 15.3098
_cell_angle_alpha 90.00
_cell_angle_beta 90.00
_cell_angle_gamma 120.00
_symmetry_space_group_name_H-M 'R 3'
_symmetry_Int_Tables_number 146
_symmetry_space_group_name_Hall 'R 3'
loop_
_atom_site_label
_atom_site_fract_x
_atom_site_fract_y
_atom_site_fract_z
Ca1 0.0000 0.0000 0.0000
Ca2 0.0000 0.0000 0.4949
Ce1 0.0000 0.0000 0.2179
U1 0.0000 0.0000 0.7112
O1 0.0494 0.3469 0.7789
O2 0.0598 0.6830 0.2844
```

Magnetic moment in μB per formula unit: 2.00

---

Record-wise volume values, in Å³/atom: 14.140; 13.221; 15.409; 14.620; 15.557
Record-wise electronic total energy values, in eV/atom: -6.800; -7.893; -8.215; -7.426; -8.314
Record-wise E_form (uncorrected) values, in meV per atom: -2263; -3135; -3064; -3010; -3216